Computed, not measured: crystalline YLu2Zr at its relaxed geometry at the PBE level of DFT.

Cell: 7.681 7.681 7.681 Å, 90.00 90.00 90.00°
Space group Fm-3m (No. 225)
Unique sites:
1 Y 0.000 0.000 0.000 x4
2 Lu 0.250 0.250 0.250 x8
3 Zr 0.000 0.000 0.500 x4

Output
Its formation enthalpy at 0 K is 197.0 meV/atom. For the energy relative to the lowest polymorph listed for this composition, the calculation gives 0.124 eV per atom.

Computed, not measured: crystalline Y2LuZr at its relaxed geometry at the PBE level of DFT.

Cell: 7.770 7.770 7.770 Å, 90.00 90.00 90.00°
Space group Fm-3m (No. 225)
Unique sites:
1 Y 0.250 0.250 0.250 x8
2 Lu 0.000 0.000 0.000 x4
3 Zr 0.000 0.000 0.500 x4

Output
Its formation enthalpy at 0 K is 200.4 meV/atom. For the energy relative to the lowest polymorph listed for this composition, the calculation gives 0.104 eV per atom.

Computed, not measured: crystalline Y2LuZr at its relaxed geometry at the PBE level of DFT.

Cell: 4.022 4.022 7.146 Å, 90.00 90.00 90.00°
Space group P4/mmm (No. 123)
Unique sites:
1 Y 0.000 0.000 0.231 x2
2 Lu 0.500 0.500 0.500 x1
3 Zr 0.500 0.500 0.000 x1

Output
Its formation enthalpy at 0 K is 177.2 meV/atom. For the energy relative to the lowest polymorph listed for this composition, the calculation gives 0.081 eV per atom.

Computed, not measured: crystalline YLu2Zr at its relaxed geometry at the PBE level of DFT.

Cell: 4.818 4.818 4.807 Å, 90.00 90.00 90.00°
Space group P4/mmm (No. 123)
Unique sites:
1 Y 0.000 0.000 0.000 x1
2 Lu 0.000 0.500 0.500 x2
3 Zr 0.500 0.500 0.000 x1

Output
Its formation enthalpy at 0 K is 84.6 meV/atom. For the energy relative to the lowest polymorph listed for this composition, the calculation gives 0.012 eV per atom.

Computed, not measured: crystalline YLuZr2 at its relaxed geometry at the PBE level of DFT.

Cell: 4.695 4.695 4.766 Å, 90.00 90.00 90.00°
Space group P4/mmm (No. 123)
Unique sites:
1 Y 0.000 0.000 0.000 x1
2 Lu 0.500 0.500 0.000 x1
3 Zr 0.000 0.500 0.500 x2

Output
Its formation enthalpy at 0 K is 107.5 meV/atom. For the energy relative to the lowest polymorph listed for this composition, the calculation gives 0.000 eV per atom.

Computed, not measured: crystalline YLuZr2 at its relaxed geometry at the PBE level of DFT.

Cell: 3.888 3.888 6.965 Å, 90.00 90.00 90.00°
Space group P4/mmm (No. 123)
Unique sites:
1 Y 0.000 0.000 0.000 x1
2 Lu 0.000 0.000 0.500 x1
3 Zr 0.500 0.500 0.276 x2

Output
Its formation enthalpy at 0 K is 212.3 meV/atom. For the energy relative to the lowest polymorph listed for this composition, the calculation gives 0.105 eV per atom.

The highest energy relative to the lowest polymorph listed for this composition belongs to which entry? number 1

The lowest energy relative to the lowest polymorph listed for this composition belongs to which entry? number 5

Which of these has the highest formation enthalpy at 0 K? number 6